Computed, not measured: a relaxed structure of Pr2Zn4Ni5 at the PBE-GGA level of DFT.

Cell: 5.387 5.261 7.974 Å, 80.04 70.26 59.20°
Fractional positions:
Zn 0.531 0.682 0.257
Zn 0.469 0.318 0.743
Zn 0.213 0.318 0.257
Zn 0.787 0.682 0.743
Ni 0.500 0.500 0.000
Ni 0.500 0.000 0.000
Ni 0.750 0.500 0.500
Ni 0.000 0.500 0.000
Ni 0.250 0.500 0.500
Pr 0.866 0.000 0.268
Pr 0.134 0.000 0.732

Results
E_form: -293.7 meV/atom
mass density: 7605 kg/m³
DOS(E_F): 0.385 states/eV per atom
raw total energy: -4.25 eV per atom